(P)
Here is a relaxed structure of ScAs2OsBr from the Alexandria database. Energies are from PBE.

Cell lengths 4.7537, 4.7537, 5.2467 Å; angles 90.00, 90.00, 90.00 degrees
Positions (direct):
Sc 0.0000 0.0000 0.0000
As 0.0000 0.5000 0.5000
As 0.5000 0.0000 0.5000
Os 0.5000 0.5000 0.5000
Br 0.5000 0.5000 0.0000

Output
The volume is 119 Å³ per cell. The crystal system is tetragonal. The value obtained for the magnetization is 0.174 μB/f.u. The calculation puts the density of states at the Fermi level at 1.048 states/eV/atom.

---

(Q)
Here is a relaxed structure of ScAs2OsBr from the Alexandria database. Energies are from PBE.

Cell lengths 5.1726, 5.1726, 4.9432 Å; angles 90.00, 90.00, 90.00 degrees
Positions (direct):
Sc 0.0000 0.0000 0.0000
As 0.0000 0.5000 0.0000
As 0.5000 0.0000 0.0000
Os 0.5000 0.5000 0.5000
Br 0.0000 0.0000 0.5000

Output
The volume is 132 Å³ per cell. The crystal system is tetragonal. The value obtained for the magnetization is 2.724 μB/f.u. The calculation puts the density of states at the Fermi level at 1.018 states/eV/atom.

---

Among the structures above, stability is greatest for (P).